ScMn3Fe PBE relaxed; symmetry = Pm-3m, No. 221; energy of formation from the pure elements = 2.162 eV per atom; energy above the lowest structure with this stoichiometry = 730 kJ/mol of formula units
1.0
4.184 0.000 0.000
0.000 4.184 0.000
0.000 0.000 4.184
Sc Mn Fe
1 3 1
Direct
0.000 0.000 0.000 Sc
0.000 0.000 0.500 Mn
0.000 0.500 0.000 Mn
0.500 0.000 0.000 Mn
0.500 0.500 0.500 Fe

Sc2MnFe PBE relaxed; symmetry = Fm-3m, No. 225; energy of formation from the pure elements = 0.030 eV per atom; energy above the lowest structure with this stoichiometry = 13 kJ/mol of formula units
1.0
0.000 3.213 3.213
3.213 0.000 3.213
3.213 3.213 0.000
Sc Mn Fe
2 1 1
Direct
0.250 0.250 0.250 Sc
0.750 0.750 0.750 Sc
0.000 0.000 0.000 Mn
0.500 0.500 0.500 Fe

ScMn4Fe PBE relaxed; symmetry = F-43m, No. 216; energy of formation from the pure elements = 0.077 eV per atom
1.0
0.000 3.373 3.373
3.373 0.000 3.373
3.373 3.373 0.000
Sc Mn Fe
1 4 1
Direct
0.000 0.000 0.000 Sc
0.376 0.376 0.376 Mn
0.376 0.376 0.872 Mn
0.376 0.872 0.376 Mn
0.872 0.376 0.376 Mn
0.750 0.750 0.750 Fe

Sc2MnFe PBE relaxed; symmetry = R-3m, No. 166; energy of formation from the pure elements = 0.564 eV per atom; energy above the lowest structure with this stoichiometry = 219 kJ/mol of formula units
1.0
1.488 0.859 8.963
-1.488 0.859 8.963
0.000 -1.718 8.963
Sc Mn Fe
2 1 1
Direct
0.083 0.083 0.083 Sc
0.917 0.917 0.917 Sc
0.500 0.500 0.500 Mn
0.000 0.000 0.000 Fe

ScMnFe2 PBE relaxed; symmetry = P2/m, No. 10; energy of formation from the pure elements = 0.176 eV per atom
1.0
2.689 0.000 0.000
0.000 3.940 0.000
-1.262 0.000 5.108
Sc Mn Fe
1 1 2
Direct
0.000 0.000 0.000 Sc
0.500 0.000 0.500 Mn
0.269 0.500 0.713 Fe
0.731 0.500 0.287 Fe

ScMn3Fe PBE relaxed; symmetry = Pm-3m, No. 221; energy of formation from the pure elements = 0.650 eV per atom; energy above the lowest structure with this stoichiometry = 0 kJ/mol of formula units
1.0
4.307 0.000 0.000
0.000 4.307 0.000
0.000 0.000 4.307
Sc Mn Fe
1 3 1
Direct
0.000 0.000 0.000 Sc
0.000 0.500 0.500 Mn
0.500 0.000 0.500 Mn
0.500 0.500 0.000 Mn
0.500 0.500 0.500 Fe

ScMnFe3 PBE relaxed; symmetry = Pm-3m, No. 221; energy of formation from the pure elements = 0.648 eV per atom
1.0
4.212 0.000 0.000
0.000 4.212 0.000
0.000 0.000 4.212
Sc Mn Fe
1 1 3
Direct
0.000 0.000 0.000 Sc
0.500 0.500 0.500 Mn
0.000 0.500 0.500 Fe
0.500 0.000 0.500 Fe
0.500 0.500 0.000 Fe

ScMnFe2 PBE relaxed; symmetry = R3m, No. 160; energy of formation from the pure elements = 0.367 eV per atom
1.0
1.409 0.814 8.372
-1.409 0.814 8.372
0.000 -1.627 8.372
Sc Mn Fe
1 1 2
Direct
0.000 0.000 0.000 Sc
0.760 0.760 0.760 Mn
0.246 0.246 0.246 Fe
0.506 0.506 0.506 Fe

- Look up the energy of formation from the pure elements of the eighth one.
  0.367 eV per atom